Entry w
Compound: TaRuSe3
Source: Alexandria via LeMat-Bulk
Functional: PBE
Structure: relaxed

Cell lengths 5.0050, 5.0050, 5.0050 Å; angles 90.00, 90.00, 90.00 degrees
Closest atoms and distances in Å follow each position.
Fractional coordinates of all 5 atoms:
Ru 0.5000 0.5000 0.5000  12 Se 3.54
Se 0.0000 0.5000 0.0000  2 Ta 2.50
Se 0.5000 0.0000 0.0000  2 Ta 2.50
Se 0.0000 0.0000 0.5000  2 Ta 2.50
Ta 0.0000 0.0000 0.0000  6 Se 2.50

Summary:
As for the calculated density: 6.9 g/cm3.


Entry x
Compound: TaRuSe3
Source: Alexandria via LeMat-Bulk
Functional: PBE
Structure: relaxed

Cell lengths 4.7595, 4.7595, 4.7595 Å; angles 90.00, 90.00, 90.00 degrees
Closest atoms and distances in Å follow each position.
Fractional coordinates of all 5 atoms:
Se 0.0000 0.0000 0.5000  2 Ru 2.38
Se 0.0000 0.5000 0.0000  2 Ru 2.38
Se 0.5000 0.0000 0.0000  2 Ru 2.38
Ta 0.5000 0.5000 0.5000  12 Se 3.37
Ru 0.0000 0.0000 0.0000  6 Se 2.38

Summary:
As for the calculated density: 8.0 g/cm3.


On energetic grounds, entry w is preferred over the next structure by 264 meV/atom.


Entry w
Compound: Ta3RuSe
Source: Alexandria via LeMat-Bulk
Functional: PBE
Structure: relaxed

Cell lengths 4.8163, 4.8163, 4.8163 Å; angles 90.00, 90.00, 90.00 degrees
Closest atoms and distances in Å follow each position.
Fractional coordinates of all 5 atoms:
Ta 0.0000 0.0000 0.5000  2 Ru 2.41
Ta 0.5000 0.0000 0.0000  2 Ru 2.41
Ta 0.0000 0.5000 0.0000  2 Ru 2.41
Se 0.5000 0.5000 0.5000  12 Ta 3.41
Ru 0.0000 0.0000 0.0000  6 Ta 2.41

Summary:
As for the calculated density: 10.7 g/cm3.


Entry x
Compound: Ta3RuSe
Source: Alexandria via LeMat-Bulk
Functional: PBE
Structure: relaxed

Cell lengths 4.6462, 4.6462, 4.6462 Å; angles 90.00, 90.00, 90.00 degrees
Closest atoms and distances in Å follow each position.
Fractional coordinates of all 5 atoms:
Ta 0.5000 0.0000 0.0000  2 Se 2.32
Ta 0.0000 0.0000 0.5000  2 Se 2.32
Ta 0.0000 0.5000 0.0000  2 Se 2.32
Ru 0.5000 0.5000 0.5000  12 Ta 3.29
Se 0.0000 0.0000 0.0000  6 Ta 2.32

Summary:
As for the calculated density: 12.0 g/cm3.


On energetic grounds, entry w is preferred over the next structure by 37 meV/atom.


Entry w
Compound: Ta2Ru2Se
Source: Alexandria via LeMat-Bulk
Functional: PBE
Structure: relaxed

Cell lengths 4.2395, 4.2395, 6.2465 Å; angles 70.16, 70.16, 90.00 degrees
Closest atoms and distances in Å follow each position.
Fractional coordinates of all 5 atoms:
Ru 0.3794 0.3794 0.2412  4 Ta 2.55, 1 Ru 2.64
Ru 0.6206 0.6206 0.7588  4 Ta 2.55, 1 Ru 2.64
Ta 0.7500 0.2500 0.5000  4 Ru 2.55
Ta 0.2500 0.7500 0.5000  4 Ru 2.55
Se 0.0000 0.0000 0.0000  8 Ru 3.28, 8 Ta 3.46

Summary:
As for the calculated density: 10.8 g/cm3.


Entry x
Compound: Ta2Ru2Se
Source: Alexandria via LeMat-Bulk
Functional: PBE
Structure: relaxed

Cell lengths 7.5865, 7.5865, 3.0061 Å; angles 90.00, 90.00, 90.00 degrees
Closest atoms and distances in Å follow each position.
Fractional coordinates of all 10 atoms:
Ru 0.6374 0.1374 0.0000  6 Ta 2.67-2.70, 2 Se 2.94, 1 Ru 2.95
Ru 0.8626 0.6374 0.0000  6 Ta 2.67-2.70, 2 Se 2.94, 1 Ru 2.95
Ru 0.1374 0.3626 0.0000  6 Ta 2.67-2.70, 2 Se 2.94, 1 Ru 2.95
Ru 0.3626 0.8626 0.0000  6 Ta 2.67-2.70, 2 Se 2.94, 1 Ru 2.95
Ta 0.3470 0.1530 0.5000  6 Ru 2.67-2.70
Ta 0.8470 0.3470 0.5000  6 Ru 2.67-2.70
Ta 0.1530 0.6530 0.5000  6 Ru 2.67-2.70
Ta 0.6530 0.8470 0.5000  6 Ru 2.67-2.70
Se 0.0000 0.0000 0.0000  4 Ru 2.94, 2 Se 3.01, 8 Ta 3.25
Se 0.5000 0.5000 0.0000  4 Ru 2.94, 2 Se 3.01, 8 Ta 3.25

Summary:
As for the calculated density: 12.3 g/cm3.


On energetic grounds, entry x is preferred over the next structure by 207 meV/atom.


Entry w
Compound: Tc3RuSe
Source: Alexandria via LeMat-Bulk
Functional: PBE
Structure: relaxed

Cell lengths 4.6713, 4.6713, 4.6713 Å; angles 90.00, 90.00, 90.00 degrees
Closest atoms and distances in Å follow each position.
Fractional coordinates of all 5 atoms:
Se 0.5000 0.5000 0.5000  12 Tc 3.30
Tc 0.5000 0.0000 0.0000  2 Ru 2.34
Tc 0.0000 0.0000 0.5000  2 Ru 2.34
Tc 0.0000 0.5000 0.0000  2 Ru 2.34
Ru 0.0000 0.0000 0.0000  6 Tc 2.34

Summary:
As for the calculated density: 7.7 g/cm3.


Entry x
Compound: Tc3RuSe
Source: Alexandria via LeMat-Bulk
Functional: PBE
Structure: relaxed

Cell lengths 4.4839, 4.4839, 4.4839 Å; angles 90.00, 90.00, 90.00 degrees
Closest atoms and distances in Å follow each position.
Fractional coordinates of all 5 atoms:
Tc 0.0000 0.5000 0.0000  2 Se 2.24
Tc 0.5000 0.0000 0.0000  2 Se 2.24
Tc 0.0000 0.0000 0.5000  2 Se 2.24
Se 0.0000 0.0000 0.0000  6 Tc 2.24
Ru 0.5000 0.5000 0.5000  12 Tc 3.17

Summary:
As for the calculated density: 8.7 g/cm3.


On energetic grounds, entry x is preferred over the next structure by 389 meV/atom.


Entry w
Compound: Te3RuSe
Source: Alexandria via LeMat-Bulk
Functional: PBE
Structure: relaxed

Cell lengths 5.3874, 5.3874, 5.3874 Å; angles 90.00, 90.00, 90.00 degrees
Closest atoms and distances in Å follow each position.
Fractional coordinates of all 5 atoms:
Se 0.0000 0.0000 0.0000  6 Te 2.69
Te 0.5000 0.0000 0.0000  2 Se 2.69
Te 0.0000 0.0000 0.5000  2 Se 2.69
Te 0.0000 0.5000 0.0000  2 Se 2.69
Ru 0.5000 0.5000 0.5000  12 Te 3.81

Summary:
As for the calculated density: 6.0 g/cm3.


Entry x
Compound: Te3RuSe
Source: Alexandria via LeMat-Bulk
Functional: PBE
Structure: relaxed

Cell lengths 5.1753, 5.1753, 5.1753 Å; angles 90.00, 90.00, 90.00 degrees
Closest atoms and distances in Å follow each position.
Fractional coordinates of all 5 atoms:
Te 0.0000 0.0000 0.5000  2 Ru 2.59
Te 0.0000 0.5000 0.0000  2 Ru 2.59
Te 0.5000 0.0000 0.0000  2 Ru 2.59
Se 0.5000 0.5000 0.5000  12 Te 3.66
Ru 0.0000 0.0000 0.0000  6 Te 2.59

Summary:
As for the calculated density: 6.7 g/cm3.


On energetic grounds, entry x is preferred over the next structure by 698 meV/atom.


Entry w
Compound: TiRuSe2
Source: Alexandria via LeMat-Bulk
Functional: PBE
Structure: relaxed

Cell lengths 5.6208, 5.6208, 6.9144 Å; angles 66.02, 66.02, 90.00 degrees
Closest atoms and distances in Å follow each position.
Fractional coordinates of all 8 atoms:
Se 0.3750 0.3657 0.7500  2 Ru 2.41, 2 Ti 2.47
Se 0.8750 0.8843 0.7500  2 Ru 2.41, 2 Ti 2.47
Se 0.1157 0.6250 0.2500  2 Ru 2.41, 2 Ti 2.47
Se 0.6343 0.1250 0.2500  2 Ru 2.41, 2 Ti 2.47
Ti 0.2500 0.7500 0.5000  4 Se 2.47
Ti 0.5000 0.5000 0.0000  4 Se 2.47
Ru 0.0000 0.0000 0.0000  4 Se 2.41
Ru 0.7500 0.2500 0.5000  4 Se 2.41

Summary:
As for the calculated density: 5.7 g/cm3.


Entry x
Compound: TiRuSe2
Source: Alexandria via LeMat-Bulk
Functional: PBE
Structure: relaxed

Cell lengths 4.4757, 4.4757, 4.4757 Å; angles 60.00, 60.00, 60.00 degrees
Closest atoms and distances in Å follow each position.
Fractional coordinates of all 4 atoms:
Se 0.2500 0.2500 0.2500  4 Ru 2.74, 4 Ti 2.74
Se 0.7500 0.7500 0.7500  4 Ru 2.74, 4 Ti 2.74
Ti 0.0000 0.0000 0.0000  8 Se 2.74
Ru 0.5000 0.5000 0.5000  8 Se 2.74

Summary:
As for the calculated density: 8.0 g/cm3.


On energetic grounds, entry x is preferred over the next structure by 56 meV/atom.